# 1
VASP calculation (GGA-PBE) on a geometry-optimized Ba2Li5Tl structure.

a = 5.113 Å, b = 18.877 Å, c = 10.625 Å
α = 90.00°, β = 90.00°, γ = 90.00°
Space group Cmcm (No. 63)
Symmetry-distinct sites (fractional):
1 Ba 0.000 0.000 0.000 (multiplicity 4)
2 Ba 0.000 0.194 0.250 (multiplicity 4)
3 Li 0.000 0.189 0.611 (multiplicity 8)
4 Li 0.000 0.344 0.520 (multiplicity 8)
5 Li 0.000 0.403 0.250 (multiplicity 4)
6 Tl 0.000 0.440 0.750 (multiplicity 4)

Properties
- Mass density: 3.328 g/cm3
- Raw total energy: -2.03 eV per atom
- Formation energy from the elements: -0.05 eV/atom

***

# 2
VASP calculation (GGA-PBE) on a geometry-optimized Ac12ThRu7 structure.

a = 15.0614 Å, b = 15.0614 Å, c = 10.3512 Å
α = 90.00°, β = 90.00°, γ = 120.00°
Space group R-3 (No. 148, hexagonal axes)
Symmetry-distinct sites (fractional):
1 Ac 0.0245 0.4390 0.1601 (multiplicity 18)
2 Ac 0.0484 0.8764 0.8270 (multiplicity 18)
3 Th 0.0000 0.0000 0.5000 (multiplicity 3)
4 Ru 0.0000 0.0000 0.0000 (multiplicity 3)
5 Ru 0.0404 0.8572 0.3404 (multiplicity 18)

Properties
- Mass density: 8.975 g/cm3
- Raw total energy: -6.28 eV per atom
- Formation energy from the elements: -0.20 eV/atom

***

# 3
VASP calculation (GGA-PBE) on a geometry-optimized Pm2TmTl structure.

a = 3.6608 Å, b = 3.6608 Å, c = 32.9883 Å
α = 90.00°, β = 90.00°, γ = 120.00°
Space group R3m (No. 160, hexagonal axes)
Symmetry-distinct sites (fractional):
1 Pm 0.0000 0.0000 0.0000 (multiplicity 3)
2 Pm 0.0000 0.0000 0.1726 (multiplicity 3)
3 Tm 0.0000 0.0000 0.4197 (multiplicity 3)
4 Tl 0.0000 0.0000 0.5861 (multiplicity 3)

Properties
- Mass density: 8.631 g/cm3
- E above lowest polymorph: 92 meV/atom
- Raw total energy: -4.18 eV per atom
- Formation energy from the elements: -0.10 eV/atom

***

# 4
VASP calculation (GGA-PBE) on a geometry-optimized CsRb2PdBr structure.

a = 6.389 Å, b = 6.389 Å, c = 6.688 Å
α = 90.00°, β = 90.00°, γ = 90.00°
Space group P4/mmm (No. 123)
Symmetry-distinct sites (fractional):
1 Cs 0.000 0.000 0.000 (multiplicity 1)
2 Rb 0.000 0.500 0.500 (multiplicity 2)
3 Pd 0.000 0.000 0.500 (multiplicity 1)
4 Br 0.500 0.500 0.000 (multiplicity 1)

Properties
- Mass density: 2.982 g/cm3
- E above lowest polymorph: 0 meV/atom
- Energy relative to the elements, uncorrected: -0.51 eV per atom
- Raw total energy: -2.45 eV per atom

***

# 5
VASP calculation (GGA-PBE) on a geometry-optimized Cs2SrSbF6 structure.

a = 6.987 Å, b = 6.987 Å, c = 9.307 Å
α = 90.00°, β = 90.00°, γ = 90.00°
Space group I4/mmm (No. 139)
Symmetry-distinct sites (fractional):
1 Cs 0.000 0.500 0.250 (multiplicity 4)
2 Sr 0.000 0.000 0.000 (multiplicity 2)
3 Sb 0.000 0.000 0.500 (multiplicity 2)
4 F 0.000 0.000 0.261 (multiplicity 4)
5 F 0.243 0.243 0.000 (multiplicity 8)

Properties
- Mass density: 4.306 g/cm3
- Energy relative to the elements, uncorrected: -2.69 eV per atom
- Raw total energy: -4.56 eV per atom

***

# 6
VASP calculation (GGA-PBE) on a geometry-optimized TaNbIn structure.

a = 3.509 Å, b = 3.509 Å, c = 9.514 Å
α = 90.00°, β = 90.00°, γ = 90.00°
Space group I4mm (No. 107)
Symmetry-distinct sites (fractional):
1 Ta 0.000 0.000 0.000 (multiplicity 2)
2 Nb 0.000 0.000 0.361 (multiplicity 2)
3 In 0.000 0.000 0.681 (multiplicity 2)

Properties
- Mass density: 11.019 g/cm3
- Raw total energy: -8.15 eV per atom
- Formation energy from the elements: 0.07 eV/atom

***

# 7
VASP calculation (GGA-PBE) on a geometry-optimized Ag2TeS structure.

a = 3.9085 Å, b = 3.9085 Å, c = 20.1106 Å
α = 90.00°, β = 90.00°, γ = 120.00°
Space group R3m (No. 160, hexagonal axes)
Symmetry-distinct sites (fractional):
1 Ag 0.0000 0.0000 0.0000 (multiplicity 3)
2 Ag 0.0000 0.0000 0.1483 (multiplicity 3)
3 Te 0.0000 0.0000 0.5758 (multiplicity 3)
4 S 0.0000 0.0000 0.4043 (multiplicity 3)

Properties
- Mass density: 7.029 g/cm3
- E above lowest polymorph: 103 meV/atom
- Energy relative to the elements, uncorrected: 0.10 eV per atom
- Raw total energy: -3.14 eV per atom

***

# 8
VASP calculation (GGA-PBE) on a geometry-optimized MgTe2OsW structure.

a = 5.102 Å, b = 5.102 Å, c = 4.623 Å
α = 90.00°, β = 90.00°, γ = 90.00°
Space group P4/mmm (No. 123)
Symmetry-distinct sites (fractional):
1 Mg 0.000 0.000 0.000 (multiplicity 1)
2 Te 0.000 0.500 0.000 (multiplicity 2)
3 Os 0.000 0.000 0.500 (multiplicity 1)
4 W 0.500 0.500 0.500 (multiplicity 1)

Properties
- Mass density: 9.019 g/cm3
- Energy relative to the elements, uncorrected: 2.01 eV per atom
- Raw total energy: -4.41 eV per atom